4
Lattice="6.919 0.000 0.000 0.000 6.919 0.000 0.000 0.000 3.537" Properties=species:S:1:pos:R:3 comment="K3Ta | Alexandria | GGA-PBE | optimized geometry" density_g_cm3=2.92 total_magnetization_mub_per_atom=0.934 sg="P4/mmm (123)" relative_energy_mev_per_atom=583 e_form_ev_per_atom=1.361 dos_ef_per_ev_atom=0.905 pbc="T T T"
K 3.460 3.460 0.000
K 3.460 0.000 1.769
Ta 0.000 3.460 1.769
K 0.000 0.000 0.000